Below is an optimized crystal structure of La4Ag2S, with properties calculated at the PBE-GGA level.

Total energy ... -4.942 eV/atom
Energy relative to the elements, uncorrected ... -0.72 eV per atom

abc: 4.207 7.096 7.884
angles: 72.82 74.52 72.76
Fractional coordinates of all 7 atoms:
La 0.092 0.197 0.620
La 0.908 0.803 0.380
La 0.336 0.253 0.075
La 0.664 0.747 0.925
Ag 0.379 0.567 0.674
Ag 0.621 0.433 0.326
S 0.000 0.000 0.000